# 1
DFT (GGA-PBE) results for Dy2TmAlC after structural relaxation.

Values from the calculation:
**Electronic total energy**: -28.7 eV/cell
**ΔE_f**: -0.41 eV per atom

abc: 4.887 4.887 4.798
angles: 90.00 90.00 90.00
Sites, in units of the cell vectors:
1 Dy 0.000 0.500 0.000
2 Dy 0.500 0.000 0.000
3 Tm 0.000 0.000 0.500
4 Al 0.500 0.500 0.500
5 C 0.000 0.000 0.000

# 2
DFT (GGA-PBE) results for PmSmDySc after structural relaxation.

Values from the calculation:
**Distance to the lowest polymorph of the same formula**: 0.04 eV/f.u.
**Electronic total energy**: -20.0 eV/cell
**ΔE_f**: 0.11 eV per atom

abc: 5.599 5.599 5.599
angles: 60.00 60.00 60.00
Sites, in units of the cell vectors:
1 Pm 0.000 0.000 0.000
2 Sm 0.500 0.500 0.500
3 Dy 0.250 0.250 0.250
4 Sc 0.750 0.750 0.750